[1]
A relaxed structure of LiNiBi2, computed with PBE-GGA.

abc: 5.069 5.069 5.069
angles: 60.00 60.00 60.00
Atoms (fractional coordinates):
Li (0.000, 0.000, 0.000)
Ni (0.750, 0.750, 0.750)
Bi (0.250, 0.250, 0.250)
Bi (0.500, 0.500, 0.500)

Values from the calculation:
The symmetry is F-43m. The value obtained for the volume is 23.02 Å³ per atom. For the final energy, the calculation gives -3.651 eV per atom.


[2]
A relaxed structure of Li2Ni3Bi2, computed with PBE-GGA.

abc: 7.433 7.433 7.433
angles: 33.90 33.90 33.90
Atoms (fractional coordinates):
Li (0.000, 0.000, 0.000)
Li (0.492, 0.492, 0.492)
Ni (0.367, 0.367, 0.367)
Ni (0.621, 0.621, 0.621)
Ni (0.875, 0.875, 0.875)
Bi (0.241, 0.241, 0.241)
Bi (0.748, 0.748, 0.748)

Values from the calculation:
The symmetry is R3m. The value obtained for the volume is 16.27 Å³ per atom. For the final energy, the calculation gives -4.244 eV per atom.


[3]
A relaxed structure of LiNiBiOs, computed with PBE-GGA.

abc: 4.422 4.422 4.422
angles: 60.00 60.00 60.00
Atoms (fractional coordinates):
Li (0.000, 0.000, 0.000)
Ni (0.500, 0.500, 0.500)
Bi (0.250, 0.250, 0.250)
Os (0.750, 0.750, 0.750)

Values from the calculation:
The symmetry is F-43m. The value obtained for the volume is 15.28 Å³ per atom. For the final energy, the calculation gives -5.163 eV per atom.


Question: Which formula does entry 1 have?
Answer: LiNiBi2


Copy entry 3 word for word.
A relaxed structure of LiNiBiOs, computed with PBE-GGA.

abc: 4.422 4.422 4.422
angles: 60.00 60.00 60.00
Atoms (fractional coordinates):
Li (0.000, 0.000, 0.000)
Ni (0.500, 0.500, 0.500)
Bi (0.250, 0.250, 0.250)
Os (0.750, 0.750, 0.750)

Values from the calculation:
The symmetry is F-43m. The value obtained for the volume is 15.28 Å³ per atom. For the final energy, the calculation gives -5.163 eV per atom.